{"formula": "Ni2Pd8Au", "functional": "PBE-GGA", "state": "relaxed", "cell": [[-3.399, 2.137, 2.123], [0.325, -2.852, 6.280], [3.420, 3.402, 4.940]], "species": ["Ni", "Pd", "Pd", "Pd", "Pd", "Pd", "Pd", "Pd", "Au", "Ni", "Pd"], "fractional_positions": [[0.549, 0.879, 0.879], [0.106, 0.773, 0.773], [0.774, 0.618, 0.237], [0.682, 0.646, 0.646], [0.774, 0.237, 0.618], [0.894, 0.227, 0.227], [0.318, 0.354, 0.354], [0.226, 0.763, 0.382], [0.000, 0.000, 0.000], [0.451, 0.121, 0.121], [0.226, 0.382, 0.763]], "dos_at_fermi_per_ev_cell": 19.7, "formation_enthalpy_0k_kj_per_mol_fu": 365.4}

{"formula": "TbTh2Co", "functional": "PBE-GGA", "state": "relaxed", "cell": [[-2.831, 1.137, -1.797], [-2.056, -0.701, 2.796], [1.298, 7.848, 2.923]], "species": ["Th", "Co", "Tb", "Th"], "fractional_positions": [[0.000, 0.000, 0.190], [0.500, 0.500, 0.000], [0.500, 0.500, 0.500], [0.000, 0.000, 0.810]], "dos_at_fermi_per_ev_cell": 7.8, "formation_enthalpy_0k_kj_per_mol_fu": 0.7}

{"formula": "Sr3GaNi", "functional": "PBE-GGA", "state": "relaxed", "cell": [[-3.511, 3.534, 2.730], [-3.762, -0.472, -4.230], [-2.405, -4.422, 2.632]], "species": ["Sr", "Ni", "Ga", "Sr", "Sr"], "fractional_positions": [[0.000, 0.500, 0.000], [0.000, 0.000, 0.000], [0.500, 0.500, 0.500], [0.500, 0.000, 0.000], [0.000, 0.000, 0.500]], "dos_at_fermi_per_ev_cell": 6.0, "formation_enthalpy_0k_kj_per_mol_fu": 22.3}